Here is a relaxed LaAl2AsOs crystal from Alexandria via LeMat-Bulk. Energies are from PBE-GGA.

Values from the calculation:
DFT formation energy, eV/atom: 2.08
Raw total energy, Ry/atom: -0.2627
Density, kg/m³: 4323

```
data_LaAl2AsOs
_chemical_formula_sum 'La1 Al2 As1 Os1'
_cell_length_a 5.712
_cell_length_b 5.712
_cell_length_c 5.393
_cell_angle_alpha 90.00
_cell_angle_beta 90.00
_cell_angle_gamma 90.00
_space_group_name_H-M_alt 'P 4/m m m'
_space_group_IT_number 123
_space_group_name_Hall '-P 4 2'
loop_
_atom_site_label
_atom_site_type_symbol
_atom_site_fract_x
_atom_site_fract_y
_atom_site_fract_z
La1 La 0.000 0.000 0.000
Al1 Al 0.000 0.500 0.000
As1 As 0.000 0.000 0.500
Os1 Os 0.500 0.500 0.500
```

Here is a relaxed La2AlAs4Pd3 crystal from Alexandria via LeMat-Bulk. Energies are from PBE-GGA.

Values from the calculation:
DFT formation energy, eV/atom: -0.85
Raw total energy, Ry/atom: -0.4139
Density, kg/m³: 7526

```
data_La2AlAs4Pd3
_chemical_formula_sum 'La2 Al1 As4 Pd3'
_cell_length_a 4.469
_cell_length_b 4.469
_cell_length_c 10.203
_cell_angle_alpha 90.00
_cell_angle_beta 90.00
_cell_angle_gamma 90.00
_space_group_name_H-M_alt 'P -4 m 2'
_space_group_IT_number 115
_space_group_name_Hall 'P -4 -2'
loop_
_atom_site_label
_atom_site_type_symbol
_atom_site_fract_x
_atom_site_fract_y
_atom_site_fract_z
La1 La 0.000 0.500 0.239
Al1 Al 0.000 0.000 0.500
As1 As 0.000 0.000 0.000
As2 As 0.000 0.500 0.635
As3 As 0.500 0.500 0.000
Pd1 Pd 0.000 0.500 0.879
Pd2 Pd 0.500 0.500 0.500
```

Here is a relaxed La2AlAs4Rh3 crystal from Alexandria via LeMat-Bulk. Energies are from PBE-GGA.

Values from the calculation:
DFT formation energy, eV/atom: -0.90
Raw total energy, Ry/atom: -0.4652
Density, kg/m³: 7836

```
data_La2AlAs4Rh3
_chemical_formula_sum 'La2 Al1 As4 Rh3'
_cell_length_a 4.319
_cell_length_b 4.319
_cell_length_c 10.373
_cell_angle_alpha 90.00
_cell_angle_beta 90.00
_cell_angle_gamma 90.00
_space_group_name_H-M_alt 'P -4 m 2'
_space_group_IT_number 115
_space_group_name_Hall 'P -4 -2'
loop_
_atom_site_label
_atom_site_type_symbol
_atom_site_fract_x
_atom_site_fract_y
_atom_site_fract_z
La1 La 0.000 0.500 0.239
Al1 Al 0.000 0.000 0.500
As1 As 0.000 0.000 0.000
As2 As 0.000 0.500 0.642
As3 As 0.500 0.500 0.000
Rh1 Rh 0.000 0.500 0.880
Rh2 Rh 0.500 0.500 0.500
```

Here is a relaxed LaAlAs2Ru crystal from Alexandria via LeMat-Bulk. Energies are from PBE-GGA.

Values from the calculation:
DFT formation energy, eV/atom: 1.52
Raw total energy, Ry/atom: -0.2885
Density, kg/m³: 3983

```
data_LaAlAs2Ru
_chemical_formula_sum 'La1 Al1 As2 Ru1'
_cell_length_a 5.505
_cell_length_b 5.505
_cell_length_c 5.734
_cell_angle_alpha 90.00
_cell_angle_beta 90.00
_cell_angle_gamma 90.00
_space_group_name_H-M_alt 'P 4/m m m'
_space_group_IT_number 123
_space_group_name_Hall '-P 4 2'
loop_
_atom_site_label
_atom_site_type_symbol
_atom_site_fract_x
_atom_site_fract_y
_atom_site_fract_z
La1 La 0.000 0.000 0.000
Al1 Al 0.000 0.000 0.500
As1 As 0.000 0.500 0.000
Ru1 Ru 0.500 0.500 0.500
```

Here is a relaxed LaAlAs2Se crystal from Alexandria via LeMat-Bulk. Energies are from PBE-GGA.

Values from the calculation:
Distance to the lowest polymorph of the same formula, kcal/mol of atoms: 21.54
Raw total energy, Ry/atom: -0.2872
Uncorrected formation energy, eV/atom: 0.383
Density, kg/m³: 3486

```
data_LaAlAs2Se
_chemical_formula_sum 'La1 Al1 As2 Se1'
_cell_length_a 5.736
_cell_length_b 5.736
_cell_length_c 5.715
_cell_angle_alpha 90.00
_cell_angle_beta 90.00
_cell_angle_gamma 90.00
_space_group_name_H-M_alt 'P 4/m m m'
_space_group_IT_number 123
_space_group_name_Hall '-P 4 2'
loop_
_atom_site_label
_atom_site_type_symbol
_atom_site_fract_x
_atom_site_fract_y
_atom_site_fract_z
La1 La 0.000 0.000 0.000
Al1 Al 0.500 0.500 0.500
As1 As 0.000 0.500 0.000
Se1 Se 0.000 0.000 0.500
```

Here is a relaxed LaAlAs2Se crystal from Alexandria via LeMat-Bulk. Energies are from PBE-GGA.

Values from the calculation:
Distance to the lowest polymorph of the same formula, kcal/mol of atoms: 0.00
Raw total energy, Ry/atom: -0.3559
Uncorrected formation energy, eV/atom: -0.551
Density, kg/m³: 5465

```
data_LaAlAs2Se
_chemical_formula_sum 'La1 Al1 As2 Se1'
_cell_length_a 4.821
_cell_length_b 4.821
_cell_length_c 5.160
_cell_angle_alpha 90.00
_cell_angle_beta 90.00
_cell_angle_gamma 90.00
_space_group_name_H-M_alt 'P 4/m m m'
_space_group_IT_number 123
_space_group_name_Hall '-P 4 2'
loop_
_atom_site_label
_atom_site_type_symbol
_atom_site_fract_x
_atom_site_fract_y
_atom_site_fract_z
La1 La 0.000 0.000 0.000
Al1 Al 0.500 0.500 0.500
As1 As 0.000 0.500 0.500
Se1 Se 0.500 0.500 0.000
```

Here is a relaxed Sr2LaAl2As4 crystal from Alexandria via LeMat-Bulk. Energies are from PBE-GGA.

Values from the calculation:
DFT formation energy, eV/atom: -0.93
Raw total energy, Ry/atom: -0.3493
Density, kg/m³: 4677

```
data_Sr2LaAl2As4
_chemical_formula_sum 'Sr4 La2 Al4 As8'
_cell_length_a 15.707
_cell_length_b 4.235
_cell_length_c 7.543
_cell_angle_alpha 90.00
_cell_angle_beta 109.06
_cell_angle_gamma 90.00
_space_group_name_H-M_alt 'C 1 2/m 1'
_space_group_IT_number 12
_space_group_name_Hall '-C 2y'
loop_
_atom_site_label
_atom_site_type_symbol
_atom_site_fract_x
_atom_site_fract_y
_atom_site_fract_z
Sr1 Sr 0.128 0.000 0.052
La1 La 0.000 0.000 0.500
Al1 Al 0.174 0.500 0.485
As1 As 0.026 0.500 0.232
As2 As 0.213 0.000 0.696
```

Here is a relaxed LaTa2AlAs crystal from Alexandria via LeMat-Bulk. Energies are from PBE-GGA.

Values from the calculation:
DFT formation energy, eV/atom: 2.17
Raw total energy, Ry/atom: -0.3847
Density, kg/m³: 7482

```
data_LaTa2AlAs
_chemical_formula_sum 'La1 Ta2 Al1 As1'
_cell_length_a 5.010
_cell_length_b 5.010
_cell_length_c 5.328
_cell_angle_alpha 90.00
_cell_angle_beta 90.00
_cell_angle_gamma 90.00
_space_group_name_H-M_alt 'P 4/m m m'
_space_group_IT_number 123
_space_group_name_Hall '-P 4 2'
loop_
_atom_site_label
_atom_site_type_symbol
_atom_site_fract_x
_atom_site_fract_y
_atom_site_fract_z
La1 La 0.000 0.000 0.000
Ta1 Ta 0.000 0.500 0.000
Al1 Al 0.000 0.000 0.500
As1 As 0.500 0.500 0.500
```

Here is a relaxed LaYAl2As crystal from Alexandria via LeMat-Bulk. Energies are from PBE-GGA.

Values from the calculation:
DFT formation energy, eV/atom: 0.07
Raw total energy, Ry/atom: -0.3405
Density, kg/m³: 4216

```
data_LaYAl2As
_chemical_formula_sum 'La1 Y1 Al2 As1'
_cell_length_a 5.028
_cell_length_b 5.028
_cell_length_c 5.557
_cell_angle_alpha 90.00
_cell_angle_beta 90.00
_cell_angle_gamma 90.00
_space_group_name_H-M_alt 'P 4/m m m'
_space_group_IT_number 123
_space_group_name_Hall '-P 4 2'
loop_
_atom_site_label
_atom_site_type_symbol
_atom_site_fract_x
_atom_site_fract_y
_atom_site_fract_z
La1 La 0.000 0.000 0.000
Y1 Y 0.500 0.500 0.000
Al1 Al 0.000 0.500 0.500
As1 As 0.000 0.000 0.500
```

Here is a relaxed Li3AlAs crystal from Alexandria via LeMat-Bulk. Energies are from PBE-GGA.

Values from the calculation:
Distance to the lowest polymorph of the same formula, kcal/mol of atoms: 0.00
DFT formation energy, eV/atom: -0.09
Raw total energy, Ry/atom: -0.2144
Density, kg/m³: 1870

```
data_Li3AlAs
_chemical_formula_sum 'Li3 Al1 As1'
_cell_length_a 4.777
_cell_length_b 4.777
_cell_length_c 4.777
_cell_angle_alpha 90.00
_cell_angle_beta 90.00
_cell_angle_gamma 90.00
_space_group_name_H-M_alt 'P m -3 m'
_space_group_IT_number 221
_space_group_name_Hall '-P 4 2 3'
loop_
_atom_site_label
_atom_site_type_symbol
_atom_site_fract_x
_atom_site_fract_y
_atom_site_fract_z
Li1 Li 0.000 0.000 0.500
Al1 Al 0.500 0.500 0.500
As1 As 0.000 0.000 0.000
```

Here is a relaxed LiAlAs2 crystal from Alexandria via LeMat-Bulk. Energies are from PBE-GGA.

Values from the calculation:
DFT formation energy, eV/atom: -0.24
Raw total energy, Ry/atom: -0.2926
Density, kg/m³: 4195

```
data_LiAlAs2
_chemical_formula_sum 'Li2 Al2 As4'
_cell_length_a 10.783
_cell_length_b 3.667
_cell_length_c 3.908
_cell_angle_alpha 90.00
_cell_angle_beta 109.68
_cell_angle_gamma 90.00
_space_group_name_H-M_alt 'C 1 m 1'
_space_group_IT_number 8
_space_group_name_Hall 'C -2y'
loop_
_atom_site_label
_atom_site_type_symbol
_atom_site_fract_x
_atom_site_fract_y
_atom_site_fract_z
Li1 Li 0.000 0.000 0.000
Al1 Al 0.227 0.500 0.427
As1 As 0.004 0.500 0.511
As2 As 0.281 0.000 0.008
```

Here is a relaxed Li3AlAs2 crystal from Alexandria via LeMat-Bulk. Energies are from PBE-GGA.

Values from the calculation:
Distance to the lowest polymorph of the same formula, kcal/mol of atoms: 0.00
DFT formation energy, eV/atom: -0.65
Raw total energy, Ry/atom: -0.2777
Density, kg/m³: 3038

```
data_Li3AlAs2
_chemical_formula_sum 'Li12 Al4 As8'
_cell_length_a 5.616
_cell_length_b 12.966
_cell_length_c 5.934
_cell_angle_alpha 90.00
_cell_angle_beta 90.00
_cell_angle_gamma 90.00
_space_group_name_H-M_alt 'I b a m'
_space_group_IT_number 72
_space_group_name_Hall '-I 2 2c'
loop_
_atom_site_label
_atom_site_type_symbol
_atom_site_fract_x
_atom_site_fract_y
_atom_site_fract_z
Li1 Li 0.000 0.000 0.250
Li2 Li 0.241 0.179 0.000
Al1 Al 0.000 0.500 0.250
As1 As 0.234 0.381 0.000
```

Here is a relaxed LiAlAs2 crystal from Alexandria via LeMat-Bulk. Energies are from PBE-GGA.

Values from the calculation:
DFT formation energy, eV/atom: -0.17
Raw total energy, Ry/atom: -0.2871
Density, kg/m³: 4402

```
data_LiAlAs2
_chemical_formula_sum 'Li1 Al1 As2'
_cell_length_a 4.325
_cell_length_b 4.325
_cell_length_c 3.706
_cell_angle_alpha 90.00
_cell_angle_beta 90.00
_cell_angle_gamma 90.00
_space_group_name_H-M_alt 'P 4/m m m'
_space_group_IT_number 123
_space_group_name_Hall '-P 4 2'
loop_
_atom_site_label
_atom_site_type_symbol
_atom_site_fract_x
_atom_site_fract_y
_atom_site_fract_z
Li1 Li 0.000 0.000 0.000
Al1 Al 0.500 0.500 0.000
As1 As 0.000 0.500 0.500
```

Here is a relaxed Li2AlAs crystal from Alexandria via LeMat-Bulk. Energies are from PBE-GGA.

Values from the calculation:
Distance to the lowest polymorph of the same formula, kcal/mol of atoms: 1.61
DFT formation energy, eV/atom: -0.33
Raw total energy, Ry/atom: -0.2489
Density, kg/m³: 3002

```
data_Li2AlAs
_chemical_formula_sum 'Li2 Al1 As1'
_cell_length_a 2.886
_cell_length_b 3.994
_cell_length_c 5.555
_cell_angle_alpha 90.00
_cell_angle_beta 90.00
_cell_angle_gamma 90.00
_space_group_name_H-M_alt 'P m m m'
_space_group_IT_number 47
_space_group_name_Hall '-P 2 2'
loop_
_atom_site_label
_atom_site_type_symbol
_atom_site_fract_x
_atom_site_fract_y
_atom_site_fract_z
Li1 Li 0.000 0.000 0.232
Al1 Al 0.500 0.500 0.500
As1 As 0.500 0.500 0.000
```

Here is a relaxed Li2AlAs crystal from Alexandria via LeMat-Bulk. Energies are from PBE-GGA.

Values from the calculation:
Distance to the lowest polymorph of the same formula, kcal/mol of atoms: 5.39
DFT formation energy, eV/atom: -0.17
Raw total energy, Ry/atom: -0.2368
Density, kg/m³: 2753

```
data_Li2AlAs
_chemical_formula_sum 'Li8 Al4 As4'
_cell_length_a 3.881
_cell_length_b 3.881
_cell_length_c 18.543
_cell_angle_alpha 90.00
_cell_angle_beta 90.00
_cell_angle_gamma 90.00
_space_group_name_H-M_alt 'I -4 2 d'
_space_group_IT_number 122
_space_group_name_Hall 'I -4 2bw'
loop_
_atom_site_label
_atom_site_type_symbol
_atom_site_fract_x
_atom_site_fract_y
_atom_site_fract_z
Li1 Li 0.228 0.250 0.125
Al1 Al 0.000 0.000 0.500
As1 As 0.000 0.000 0.000
```

Here is a relaxed Li2AlAs crystal from Alexandria via LeMat-Bulk. Energies are from PBE-GGA.

Values from the calculation:
Distance to the lowest polymorph of the same formula, kcal/mol of atoms: 3.60
DFT formation energy, eV/atom: -0.25
Raw total energy, Ry/atom: -0.2426
Density, kg/m³: 2864

```
data_Li2AlAs
_chemical_formula_sum 'Li4 Al2 As2'
_cell_length_a 8.802
_cell_length_b 2.945
_cell_length_c 5.246
_cell_angle_alpha 90.00
_cell_angle_beta 99.11
_cell_angle_gamma 90.00
_space_group_name_H-M_alt 'C 1 2/m 1'
_space_group_IT_number 12
_space_group_name_Hall '-C 2y'
loop_
_atom_site_label
_atom_site_type_symbol
_atom_site_fract_x
_atom_site_fract_y
_atom_site_fract_z
Li1 Li 0.241 0.000 0.234
Al1 Al 0.000 0.000 0.500
As1 As 0.000 0.500 0.000
```

Here is a relaxed Li2AlAs crystal from Alexandria via LeMat-Bulk. Energies are from PBE-GGA.

Values from the calculation:
Distance to the lowest polymorph of the same formula, kcal/mol of atoms: 0.00
DFT formation energy, eV/atom: -0.40
Raw total energy, Ry/atom: -0.2540
Density, kg/m³: 3063

```
data_Li2AlAs
_chemical_formula_sum 'Li2 Al1 As1'
_cell_length_a 3.919
_cell_length_b 3.919
_cell_length_c 4.088
_cell_angle_alpha 90.00
_cell_angle_beta 90.00
_cell_angle_gamma 90.00
_space_group_name_H-M_alt 'P 4/m m m'
_space_group_IT_number 123
_space_group_name_Hall '-P 4 2'
loop_
_atom_site_label
_atom_site_type_symbol
_atom_site_fract_x
_atom_site_fract_y
_atom_site_fract_z
Li1 Li 0.000 0.500 0.000
Al1 Al 0.000 0.000 0.500
As1 As 0.500 0.500 0.500
```

Here is a relaxed LiAlAs crystal from Alexandria via LeMat-Bulk. Energies are from PBE-GGA.

Values from the calculation:
DFT formation energy, eV/atom: -0.12
Raw total energy, Ry/atom: -0.2610
Density, kg/m³: 3264

```
data_LiAlAs
_chemical_formula_sum 'Li4 Al4 As4'
_cell_length_a 3.818
_cell_length_b 4.940
_cell_length_c 11.743
_cell_angle_alpha 90.00
_cell_angle_beta 90.00
_cell_angle_gamma 90.00
_space_group_name_H-M_alt 'F m m 2'
_space_group_IT_number 42
_space_group_name_Hall 'F 2 -2'
loop_
_atom_site_label
_atom_site_type_symbol
_atom_site_fract_x
_atom_site_fract_y
_atom_site_fract_z
Li1 Li 0.000 0.000 0.000
Al1 Al 0.000 0.000 0.689
As1 As 0.000 0.000 0.334
```

Here is a relaxed LiAlAs2 crystal from Alexandria via LeMat-Bulk. Energies are from PBE-GGA.

Values from the calculation:
DFT formation energy, eV/atom: 0.09
Raw total energy, Ry/atom: -0.2681
Density, kg/m³: 3979

```
data_LiAlAs2
_chemical_formula_sum 'Li3 Al3 As6'
_cell_length_a 2.9794
_cell_length_b 2.9794
_cell_length_c 29.9251
_cell_angle_alpha 90.00
_cell_angle_beta 90.00
_cell_angle_gamma 120.00
_space_group_name_H-M_alt 'R 3 m'
_space_group_IT_number 160
_space_group_name_Hall 'R 3 -2"'
loop_
_atom_site_label
_atom_site_type_symbol
_atom_site_fract_x
_atom_site_fract_y
_atom_site_fract_z
Li1 Li 0.0000 0.0000 0.0000
Al1 Al 0.0000 0.0000 0.2545
As1 As 0.0000 0.0000 0.5185
As2 As 0.0000 0.0000 0.7369
```

Here is a relaxed Li2AlAs crystal from Alexandria via LeMat-Bulk. Energies are from PBE-GGA.

Values from the calculation:
Distance to the lowest polymorph of the same formula, kcal/mol of atoms: 3.44
DFT formation energy, eV/atom: -0.25
Raw total energy, Ry/atom: -0.2431
Density, kg/m³: 2901

```
data_Li2AlAs
_chemical_formula_sum 'Li4 Al2 As2'
_cell_length_a 9.553
_cell_length_b 2.924
_cell_length_c 4.783
_cell_angle_alpha 90.00
_cell_angle_beta 97.25
_cell_angle_gamma 90.00
_space_group_name_H-M_alt 'C 1 m 1'
_space_group_IT_number 8
_space_group_name_Hall 'C -2y'
loop_
_atom_site_label
_atom_site_type_symbol
_atom_site_fract_x
_atom_site_fract_y
_atom_site_fract_z
Li1 Li 0.000 0.000 0.000
Li2 Li 0.237 0.000 0.755
Al1 Al 0.254 0.500 0.265
As1 As 0.003 0.500 0.497
```